Compound: Sr4AuI5
Source: Alexandria
Functional: PBE
Structure: relaxed

electronic total energy: -3.16 eV per atom
raw formation energy: -1381 meV per atom
mass density: 4.4 Mg/m³

abc: 10.701 10.701 9.483
angles: 104.91 104.91 25.07
Fractional coordinates of all 10 atoms:
Sr1 0.002 0.002 0.269
Sr2 0.342 0.342 0.412
Sr3 0.658 0.658 0.588
Sr4 0.998 0.998 0.731
Au1 0.500 0.500 0.500
I1 0.163 0.163 0.836
I2 0.173 0.173 0.341
I3 0.500 0.500 0.000
I4 0.827 0.827 0.659
I5 0.837 0.837 0.164

---

Compound: Dy4Te3O
Source: Alexandria
Functional: PBE
Structure: relaxed

electronic total energy: -5.60 eV per atom
raw formation energy: -1503 meV per atom
mass density: 7.3 Mg/m³

abc: 9.749 8.008 6.123
angles: 90.00 90.00 90.00
Fractional coordinates of all 16 atoms:
Dy1 0.000 0.127 0.000
Dy2 0.000 0.869 0.500
Dy3 0.198 0.243 0.485
Dy4 0.302 0.757 0.985
Dy5 0.500 0.131 0.000
Dy6 0.500 0.873 0.500
Dy7 0.698 0.757 0.985
Dy8 0.802 0.243 0.485
Te1 0.000 0.752 0.007
Te2 0.242 0.361 0.989
Te3 0.258 0.639 0.489
Te4 0.500 0.248 0.507
Te5 0.742 0.639 0.489
Te6 0.758 0.361 0.989
O1 0.000 0.137 0.358
O2 0.500 0.863 0.858

---

Compound: KAcH6Pt2
Source: Alexandria
Functional: PBE
Structure: relaxed

electronic total energy: -4.18 eV per atom
mass density: 8.3 Mg/m³

abc: 6.640 6.640 6.447
angles: 97.65 97.65 107.08
Fractional coordinates of all 20 atoms:
K1 0.031 0.969 0.750
K2 0.969 0.031 0.250
Ac1 0.360 0.640 0.250
Ac2 0.640 0.360 0.750
H1 0.024 0.614 0.856
H2 0.229 0.348 0.514
H3 0.274 0.416 0.874
H4 0.348 0.229 0.014
H5 0.386 0.976 0.644
H6 0.416 0.274 0.374
H7 0.584 0.726 0.626
H8 0.614 0.024 0.356
H9 0.652 0.771 0.986
H10 0.726 0.584 0.126
H11 0.771 0.652 0.486
H12 0.976 0.386 0.144
Pt1 0.125 0.479 0.680
Pt2 0.479 0.125 0.180
Pt3 0.521 0.875 0.820
Pt4 0.875 0.521 0.320

---

Compound: Zn2Ag2Bi
Source: Alexandria
Functional: PBE
Structure: relaxed

electronic total energy: -2.33 eV per atom
polymorph energy (0 for the lowest one): 14 meV/atom
mass density: 9.4 Mg/m³

abc: 8.019 8.019 3.066
angles: 90.00 90.00 90.00
Fractional coordinates of all 10 atoms:
Zn1 0.165 0.335 0.000
Zn2 0.335 0.835 0.000
Zn3 0.665 0.165 0.000
Zn4 0.835 0.665 0.000
Ag1 0.130 0.630 0.500
Ag2 0.370 0.130 0.500
Ag3 0.630 0.870 0.500
Ag4 0.870 0.370 0.500
Bi1 0.000 0.000 0.500
Bi2 0.500 0.500 0.500

---

Compound: Ce2Mg3Zn4
Source: Alexandria
Functional: PBE
Structure: relaxed

electronic total energy: -2.53 eV per atom
polymorph energy (0 for the lowest one): 70 meV/atom
mass density: 5.3 Mg/m³

abc: 8.903 8.903 7.726
angles: 90.00 90.00 140.69
Fractional coordinates of all 18 atoms:
Ce1 0.091 0.909 0.892
Ce2 0.409 0.591 0.392
Ce3 0.591 0.409 0.608
Ce4 0.909 0.091 0.108
Mg1 0.000 0.000 0.500
Mg2 0.012 0.488 0.750
Mg3 0.488 0.012 0.250
Mg4 0.500 0.500 0.000
Mg5 0.512 0.988 0.750
Mg6 0.988 0.512 0.250
Zn1 0.162 0.838 0.513
Zn2 0.177 0.323 0.750
Zn3 0.323 0.177 0.250
Zn4 0.338 0.662 0.013
Zn5 0.662 0.338 0.987
Zn6 0.677 0.823 0.750
Zn7 0.823 0.677 0.250
Zn8 0.838 0.162 0.487

---

Compound: Pm6Nd5Pb
Source: Alexandria
Functional: PBE
Structure: relaxed

electronic total energy: -4.74 eV per atom
mass density: 7.4 Mg/m³

abc: 9.656 9.656 9.656
angles: 149.70 115.50 72.91
Fractional coordinates of all 12 atoms:
Pm1 0.080 0.336 0.744
Pm2 0.242 0.000 0.242
Pm3 0.408 0.664 0.744
Pm4 0.592 0.336 0.256
Pm5 0.758 0.000 0.758
Pm6 0.920 0.664 0.256
Nd1 0.169 0.169 0.000
Nd2 0.338 0.838 0.500
Nd3 0.500 0.500 0.000
Nd4 0.662 0.162 0.500
Nd5 0.831 0.831 0.000
Pb1 0.000 0.500 0.500

---

Compound: Tb3ErRh2
Source: Alexandria
Functional: PBE
Structure: relaxed

electronic total energy: -6.07 eV per atom
polymorph energy (0 for the lowest one): 25 meV/atom
mass density: 9.5 Mg/m³

abc: 8.019 8.019 4.743
angles: 107.19 107.19 30.67
Fractional coordinates of all 6 atoms:
Tb1 0.000 0.000 0.000
Tb2 0.314 0.314 0.814
Tb3 0.686 0.686 0.186
Er1 0.500 0.500 0.500
Rh1 0.129 0.129 0.631
Rh2 0.871 0.871 0.369

---

Compound: YNb2Tl
Source: Alexandria
Functional: PBE
Structure: relaxed

electronic total energy: -6.71 eV per atom
polymorph energy (0 for the lowest one): 0 meV/atom
mass density: 9.3 Mg/m³

abc: 4.945 4.945 4.945
angles: 60.00 60.00 60.00
Fractional coordinates of all 4 atoms:
Y1 0.000 0.000 0.000
Nb1 0.250 0.250 0.250
Nb2 0.750 0.750 0.750
Tl1 0.500 0.500 0.500

---

Compound: TmAlGaRh
Source: Alexandria
Functional: PBE
Structure: relaxed

electronic total energy: -5.26 eV per atom
mass density: 8.8 Mg/m³

abc: 4.621 4.621 4.621
angles: 60.00 60.00 60.00
Fractional coordinates of all 4 atoms:
Tm1 0.000 0.000 0.000
Al1 0.500 0.500 0.500
Ga1 0.750 0.750 0.750
Rh1 0.250 0.250 0.250

---

Compound: Ce3TcSn
Source: Alexandria
Functional: PBE
Structure: relaxed

electronic total energy: -6.69 eV per atom
polymorph energy (0 for the lowest one): 63 meV/atom
mass density: 8.2 Mg/m³

abc: 6.792 5.348 7.077
angles: 90.00 91.54 90.00
Fractional coordinates of all 10 atoms:
Ce1 0.036 0.250 0.131
Ce2 0.145 0.250 0.548
Ce3 0.404 0.750 0.815
Ce4 0.596 0.250 0.185
Ce5 0.855 0.750 0.452
Ce6 0.964 0.750 0.869
Tc1 0.311 0.250 0.854
Tc2 0.689 0.750 0.146
Sn1 0.302 0.750 0.290
Sn2 0.698 0.250 0.710

---

Compound: NdPuOsRu
Source: Alexandria
Functional: PBE
Structure: relaxed

electronic total energy: -9.86 eV per atom
mass density: 13.8 Mg/m³

abc: 4.877 4.877 4.877
angles: 60.00 60.00 60.00
Fractional coordinates of all 4 atoms:
Nd1 0.000 0.000 0.000
Pu1 0.500 0.500 0.500
Os1 0.750 0.750 0.750
Ru1 0.250 0.250 0.250

---

Compound: Pr3Te3O
Source: Alexandria
Functional: PBE
Structure: relaxed

electronic total energy: -5.94 eV per atom
raw formation energy: -1835 meV per atom
mass density: 6.4 Mg/m³

abc: 7.788 7.788 7.718
angles: 96.82 96.82 111.05
Fractional coordinates of all 14 atoms:
Pr1 0.095 0.095 0.328
Pr2 0.159 0.449 0.790
Pr3 0.449 0.159 0.790
Pr4 0.551 0.841 0.210
Pr5 0.841 0.551 0.210
Pr6 0.905 0.905 0.672
Te1 0.161 0.839 0.000
Te2 0.247 0.753 0.500
Te3 0.389 0.389 0.157
Te4 0.611 0.611 0.843
Te5 0.753 0.247 0.500
Te6 0.839 0.161 0.000
O1 0.172 0.172 0.637
O2 0.828 0.828 0.363

---

Look up the mass density of the third one. 8.3 Mg/m³